Record 1
Nd3IrO | PBE-GGA | optimized geometry

Its density of states at the Fermi level is 3.5 states/eV/f.u. As for the uncorrected formation energy: -6.5 eV per formula unit. The calculation puts the total energy at -6.925 eV per atom.

It has space group P-1 (No. 2), with a = 3.803 Å, b = 7.529 Å, c = 8.536 Å, α = 74.08°, β = 89.98° and γ = 89.99°. The inequivalent atoms are Nd at (0.000, 0.089, 0.166), Nd at (0.000, 0.286, 0.477), Nd at (0.500, 0.356, 0.817), Ir at (0.000, 0.500, 0.000), Ir at (0.500, 0.000, 0.500), O at (0.500, 0.000, 0.000) and O at (0.500, 0.500, 0.500).

Record 2
Nd2Ir2O7 | PBE-GGA | optimized geometry

Its density of states at the Fermi level is 5.6 states/eV/f.u. As for the uncorrected formation energy: -21.8 eV per formula unit. The calculation puts the total energy at -7.612 eV per atom.

It has space group Fd-3m (No. 227, origin choice 2), with a = 10.466 Å, b = 10.466 Å, c = 10.466 Å, α = 90.00°, β = 90.00° and γ = 90.00°. The inequivalent atoms are Nd at (0.000, 0.000, 0.000), Ir at (0.000, 0.000, 0.500), O at (0.082, 0.375, 0.875) and O at (0.125, 0.125, 0.125).